Density functional theory data (PBE) for Sb2TePbS after structural relaxation.

Output
Total energy: -3.522 eV/atom
E_form (uncorrected): 0.323 eV/atom
Energy relative to the lowest polymorph listed for this composition: 0.000 eV per formula unit
Symmetry: P4/mmm
DOS(E_F): 4.54 states/eV per cell

a = 5.2940 Å, b = 5.2940 Å, c = 5.3286 Å
α = 90.00°, β = 90.00°, γ = 90.00°
Fractional coordinates of all 5 atoms:
Pb: 0.5000 0.5000 0.5000
Te: 0.0000 0.0000 0.5000
S: 0.0000 0.0000 0.0000
Sb: 0.0000 0.5000 0.0000
Sb: 0.5000 0.0000 0.0000


Density functional theory data (PBE) for TiSbPb2S after structural relaxation.

Output
Total energy: -4.344 eV/atom
E_form (uncorrected): 0.368 eV/atom
Symmetry: P4/mmm
DOS(E_F): 5.97 states/eV per cell

a = 5.5123 Å, b = 5.0669 Å, c = 5.5123 Å
α = 90.00°, β = 90.00°, γ = 90.00°
Fractional coordinates of all 5 atoms:
Pb: 0.5000 0.0000 0.0000
Pb: 0.0000 0.0000 0.5000
Sb: 0.0000 0.5000 0.0000
S: 0.5000 0.5000 0.5000
Ti: 0.0000 0.0000 0.0000


Density functional theory data (PBE) for Tl3SbPb2S6 after structural relaxation.

Output
Total energy: -3.962 eV/atom
E_form (uncorrected): -0.345 eV/atom
Symmetry: C2/m
DOS(E_F): 0.27 states/eV per cell

a = 7.1855 Å, b = 7.1855 Å, c = 7.6371 Å
α = 98.95°, β = 98.95°, γ = 118.72°
Fractional coordinates of all 12 atoms:
S: 0.9335 0.6433 0.7980
S: 0.3567 0.0665 0.2020
S: 0.0665 0.3567 0.2020
S: 0.7872 0.7872 0.2224
S: 0.6433 0.9335 0.7980
S: 0.2128 0.2128 0.7776
Pb: 0.3341 0.6659 0.0000
Pb: 0.6659 0.3341 0.0000
Tl: 0.1735 0.8265 0.5000
Tl: 0.8265 0.1735 0.5000
Tl: 0.5000 0.5000 0.5000
Sb: 0.0000 0.0000 0.0000


Density functional theory data (PBE) for Tl2SbPbS4 after structural relaxation.

Output
Total energy: -3.954 eV/atom
E_form (uncorrected): -0.320 eV/atom
Symmetry: P2/m
DOS(E_F): 3.94 states/eV per cell

a = 4.1111 Å, b = 7.4435 Å, c = 7.2295 Å
α = 71.49°, β = 90.00°, γ = 90.00°
Fractional coordinates of all 8 atoms:
S: 0.0000 0.2815 0.2251
S: 0.5000 0.7290 0.2419
S: 0.5000 0.2710 0.7581
S: 0.0000 0.7185 0.7748
Tl: 0.5000 0.0000 0.5000
Tl: 0.0000 0.0000 0.0000
Sb: 0.5000 0.5000 0.0000
Pb: 0.0000 0.5000 0.5000


Density functional theory data (PBE) for Tm4SbPbS2 after structural relaxation.

Output
Total energy: -5.518 eV/atom
E_form (uncorrected): -1.272 eV/atom
Symmetry: P2/m
DOS(E_F): 2.99 states/eV per cell

a = 4.0114 Å, b = 7.2161 Å, c = 7.1639 Å
α = 71.27°, β = 90.00°, γ = 90.00°
Fractional coordinates of all 8 atoms:
Tm: 0.5000 0.7799 0.2347
Tm: 0.0000 0.7754 0.7418
Tm: 0.5000 0.2201 0.7653
Tm: 0.0000 0.2246 0.2582
Sb: 0.5000 0.5000 0.0000
S: 0.5000 0.0000 0.5000
S: 0.0000 0.0000 0.0000
Pb: 0.0000 0.5000 0.5000


Density functional theory data (PBE) for ScPb2S after structural relaxation.

Output
Total energy: -4.475 eV/atom
E_form (uncorrected): -0.006 eV/atom
Symmetry: I-42d
DOS(E_F): 8.49 states/eV per cell

a = 8.4399 Å, b = 8.4399 Å, c = 6.6728 Å
α = 50.77°, β = 50.77°, γ = 90.00°
Fractional coordinates of all 8 atoms:
Pb: 0.8750 0.8514 0.7500
Pb: 0.1486 0.6250 0.2500
Pb: 0.3750 0.3986 0.7500
Pb: 0.6014 0.1250 0.2500
Sc: 0.7500 0.2500 0.5000
Sc: 0.0000 0.0000 0.0000
S: 0.5000 0.5000 0.0000
S: 0.2500 0.7500 0.5000


Density functional theory data (PBE) for ScPb2S3 after structural relaxation.

Output
Total energy: -5.301 eV/atom
E_form (uncorrected): -0.946 eV/atom
Symmetry: C2/c
DOS(E_F): 3.73 states/eV per cell

a = 5.7293 Å, b = 7.3383 Å, c = 7.8817 Å
α = 103.59°, β = 111.31°, γ = 90.00°
Fractional coordinates of all 12 atoms:
Pb: 0.3369 0.9182 0.6748
Pb: 0.3379 0.4182 0.6748
Pb: 0.6631 0.0818 0.3252
Pb: 0.6621 0.5818 0.3252
S: 0.8748 0.9369 0.7498
S: 0.1250 0.5631 0.2502
S: 0.5096 0.7500 0.0000
S: 0.4904 0.2500 0.0000
S: 0.8750 0.4369 0.7498
S: 0.1252 0.0631 0.2502
Sc: 0.9623 0.7500 0.0000
Sc: 0.0377 0.2500 0.0000


Density functional theory data (PBE) for ScPb2S4 after structural relaxation.

Output
Total energy: -5.117 eV/atom
E_form (uncorrected): -0.794 eV/atom
Energy relative to the lowest polymorph listed for this composition: 0.000 eV per formula unit
Symmetry: Cmcm
DOS(E_F): 7.69 states/eV per cell

a = 3.7461 Å, b = 7.0564 Å, c = 13.3066 Å
α = 90.00°, β = 90.00°, γ = 105.39°
Fractional coordinates of all 14 atoms:
S: 0.5000 0.0000 0.5000
S: 0.0106 0.0213 0.2500
S: 0.2058 0.4116 0.8675
S: 0.7942 0.5884 0.1325
S: 0.7942 0.5884 0.3675
S: 0.2058 0.4116 0.6325
S: 0.5000 0.0000 0.0000
S: 0.9894 0.9787 0.7500
Sc: 0.6220 0.2439 0.7500
Sc: 0.3780 0.7561 0.2500
Pb: 0.1307 0.2613 0.4262
Pb: 0.8693 0.7387 0.5738
Pb: 0.1307 0.2613 0.0738
Pb: 0.8693 0.7387 0.9262


Density functional theory data (PBE) for ScPb2S4 after structural relaxation.

Output
Total energy: -5.037 eV/atom
E_form (uncorrected): -0.714 eV/atom
Energy relative to the lowest polymorph listed for this composition: 0.558 eV per formula unit
Symmetry: I4/mmm
DOS(E_F): 5.77 states/eV per cell

a = 4.9795 Å, b = 4.9795 Å, c = 8.0559 Å
α = 72.00°, β = 72.00°, γ = 90.00°
Fractional coordinates of all 7 atoms:
Pb: 0.6347 0.6347 0.7307
Pb: 0.3653 0.3653 0.2693
S: 0.1756 0.1756 0.6488
S: 0.5000 0.0000 0.0000
S: 0.0000 0.5000 0.0000
S: 0.8244 0.8244 0.3512
Sc: 0.0000 0.0000 0.0000


Density functional theory data (PBE) for ScPbS3 after structural relaxation.

Output
Total energy: -4.362 eV/atom
E_form (uncorrected): 0.123 eV/atom
Energy relative to the lowest polymorph listed for this composition: 5.613 eV per formula unit
Symmetry: Pm-3m
DOS(E_F): 5.00 states/eV per cell

a = 5.0791 Å, b = 5.0791 Å, c = 5.0791 Å
α = 90.00°, β = 90.00°, γ = 90.00°
Each line ends with the local moment (μB).
Fractional coordinates of all 5 atoms:
S: 0.0000 0.5000 0.0000  0.03
S: 0.0000 0.0000 0.5000  0.02
S: 0.5000 0.0000 0.0000  0.02
Pb: 0.0000 0.0000 0.0000  -0.01
Sc: 0.5000 0.5000 0.5000  -0.29


Density functional theory data (PBE) for Sc4PbS2 after structural relaxation.

Output
Total energy: -6.517 eV/atom
E_form (uncorrected): -1.190 eV/atom
Symmetry: R-3m
DOS(E_F): 5.14 states/eV per cell

a = 3.5917 Å, b = 3.5917 Å, c = 13.4511 Å
α = 82.33°, β = 82.33°, γ = 60.00°
Fractional coordinates of all 7 atoms:
S: 0.4291 0.4291 0.7126
S: 0.5709 0.5709 0.2874
Sc: 0.8660 0.8660 0.4021
Sc: 0.7262 0.7262 0.8213
Sc: 0.1340 0.1340 0.5979
Sc: 0.2738 0.2738 0.1787
Pb: 0.0000 0.0000 0.0000


Density functional theory data (PBE) for Sc3PbS6 after structural relaxation.

Output
Total energy: -6.175 eV/atom
E_form (uncorrected): -1.428 eV/atom
Symmetry: P2_1/m
DOS(E_F): 12.27 states/eV per cell

a = 3.7924 Å, b = 10.8541 Å, c = 11.0047 Å
α = 109.62°, β = 90.00°, γ = 90.00°
Fractional coordinates of all 20 atoms:
S: 0.2500 0.8593 0.5263
S: 0.7500 0.7123 0.2661
S: 0.7500 0.7900 0.7489
S: 0.2500 0.5185 0.3843
S: 0.2500 0.2877 0.7339
S: 0.2500 0.6126 0.9486
S: 0.7500 0.1407 0.4737
S: 0.7500 0.9196 0.0822
S: 0.7500 0.4815 0.6157
S: 0.7500 0.3874 0.0514
S: 0.2500 0.0804 0.9178
S: 0.2500 0.2100 0.2511
Sc: 0.2500 0.3254 0.5033
Sc: 0.2500 0.5511 0.1614
Sc: 0.7500 0.6746 0.4967
Sc: 0.7500 0.4489 0.8386
Sc: 0.2500 0.8405 0.9137
Sc: 0.7500 0.1595 0.0863
Pb: 0.7500 0.0449 0.6926
Pb: 0.2500 0.9551 0.3074